DFT (PBE-GGA) results for a relaxed structure of InC2.

Calculated values
- relative energy among the computed polymorphs (meV per atom) = 362
- D(E_F) (states/eV/f.u.) = 0.3
- total moment (μB per atom) = 0.000
- space-group type = No. 62

a = 3.828 Å, b = 5.534 Å, c = 9.208 Å
α = 90.00°, β = 90.00°, γ = 90.00°
Positions (direct):
C 0.250 0.126 0.147
C 0.250 0.286 0.045
C 0.250 0.786 0.455
C 0.250 0.626 0.353
C 0.750 0.714 0.955
C 0.750 0.374 0.647
C 0.750 0.874 0.853
C 0.750 0.214 0.545
In 0.250 0.210 0.391
In 0.250 0.710 0.109
In 0.750 0.790 0.609
In 0.750 0.290 0.891